This record from the Alexandria database describes a relaxed structure of KBeAg3. The functional is PBE.

a b c (Å): 4.7736 4.7736 4.7736
angles (deg): 90.00 90.00 90.00
Last column: nearest neighbours and their distance in Å.
Positions (direct):
1 Be 0.0000 0.0000 0.0000  6 Ag 2.39
2 K 0.5000 0.5000 0.5000  12 Ag 3.38
3 Ag 0.0000 0.5000 0.0000  2 Be 2.39
4 Ag 0.0000 0.0000 0.5000  2 Be 2.39
5 Ag 0.5000 0.0000 0.0000  2 Be 2.39

Properties
- V (Å³/atom) = 21.8
- energy of formation from the pure elements (eV per atom) = 0.22
- uncorrected energy (eV/atom) = -2.453